(1)
Entry from the Alexandria database: a relaxed PmHo3Hg12 crystal (PBE-GGA).

Results
ΔE_f = -0.315 eV/atom
Magnetic moment = 0.0 μB/f.u.

Cell lengths 4.530, 4.530, 19.236 Å; angles 90.00, 90.00, 90.00 degrees
Atoms (fractional coordinates):
Ho1 0.000 0.000 0.252
Ho2 0.000 0.000 0.500
Ho3 0.000 0.000 0.748
Hg1 0.500 0.000 0.376
Hg2 0.500 0.500 0.500
Hg3 0.500 0.000 0.624
Hg4 0.500 0.500 0.748
Hg5 0.500 0.500 0.000
Hg6 0.000 0.500 0.376
Hg7 0.000 0.500 0.128
Hg8 0.500 0.000 0.872
Hg9 0.500 0.500 0.252
Hg10 0.000 0.500 0.624
Hg11 0.000 0.500 0.872
Hg12 0.500 0.000 0.128
Pm1 0.000 0.000 0.000


(2)
Entry from the Alexandria database: a relaxed PmHo2Hg crystal (PBE-GGA).

Results
ΔE_f = -0.236 eV/atom
Magnetic moment = 0.0 μB/f.u.
E above lowest polymorph = 0 meV/atom

Cell lengths 3.618, 3.618, 8.902 Å; angles 90.00, 90.00, 90.00 degrees
Atoms (fractional coordinates):
Hg1 0.500 0.500 0.000
Ho1 0.000 0.000 0.218
Ho2 0.000 0.000 0.782
Pm1 0.500 0.500 0.500


(3)
Entry from the Alexandria database: a relaxed Pm5HoHg4 crystal (PBE-GGA).

Results
ΔE_f = -0.365 eV/atom
Magnetic moment = 1.3 μB/f.u.

Cell lengths 3.774, 3.774, 20.264 Å; angles 90.00, 90.00, 90.00 degrees
Last column: magnetic moment on the atom in μB.
Atoms (fractional coordinates):
Pm1 0.500 0.500 0.310  0.20
Pm2 0.500 0.500 0.500  0.22
Pm3 0.500 0.500 0.690  0.20
Pm4 0.500 0.500 0.881  0.03
Pm5 0.500 0.500 0.119  0.03
Ho1 0.000 0.000 0.000  0.00
Hg1 0.000 0.000 0.405  0.02
Hg2 0.000 0.000 0.212  0.01
Hg3 0.000 0.000 0.788  0.01
Hg4 0.000 0.000 0.595  0.02


(4)
Entry from the Alexandria database: a relaxed Pm3Ho3Hg2 crystal (PBE-GGA).

Results
ΔE_f = -0.179 eV/atom
Magnetic moment = 0.0 μB/f.u.

Cell lengths 5.196, 6.438, 15.915 Å; angles 90.00, 90.00, 113.80 degrees
Atoms (fractional coordinates):
Hg1 0.232 0.463 0.126
Hg2 0.232 0.463 0.374
Hg3 0.768 0.537 0.626
Hg4 0.768 0.537 0.874
Pm1 0.040 0.079 0.892
Pm2 0.040 0.079 0.608
Pm3 0.716 0.432 0.250
Pm4 0.960 0.921 0.108
Pm5 0.960 0.921 0.392
Pm6 0.284 0.568 0.750
Ho1 0.358 0.716 0.534
Ho2 0.570 0.141 0.750
Ho3 0.358 0.716 0.966
Ho4 0.642 0.284 0.034
Ho5 0.430 0.859 0.250
Ho6 0.642 0.284 0.466


(5)
Entry from the Alexandria database: a relaxed PmHo2Hg crystal (PBE-GGA).

Results
ΔE_f = -0.156 eV/atom
Magnetic moment = 0.4 μB/f.u.
E above lowest polymorph = 80 meV/atom

Cell lengths 4.804, 4.841, 4.841 Å; angles 90.00, 90.00, 90.00 degrees
Last column: magnetic moment on the atom in μB.
Atoms (fractional coordinates):
Hg1 0.500 0.000 0.000  0.00
Ho1 0.000 0.000 0.500  0.11
Ho2 0.000 0.500 0.000  0.11
Pm1 0.500 0.500 0.500  0.11


(6)
Entry from the Alexandria database: a relaxed PmHoHg5 crystal (PBE-GGA).

Results
ΔE_f = -0.272 eV/atom
Magnetic moment = 0.0 μB/f.u.

Cell lengths 4.613, 4.613, 8.840 Å; angles 90.00, 90.00, 90.00 degrees
Atoms (fractional coordinates):
Hg1 0.000 0.500 0.755
Hg2 0.500 0.000 0.755
Hg3 0.500 0.000 0.245
Hg4 0.000 0.500 0.245
Hg5 0.500 0.500 0.500
Ho1 0.000 0.000 0.500
Pm1 0.500 0.500 0.000